Entry 1:
## TlReRuPb2 (GGA-PBE)

Data for a relaxed TlReRuPb2 crystal.

Computed properties:
- Formation enthalpy at 0 K: 4.73 eV per formula unit
- V: 137 Å³/cell
- Total energy: -26.78 eV for the cell shown
- Space-group type: P4/mmm (123)

Cell lengths 5.3592, 4.7664, 5.3592 Å; angles 90.00, 90.00, 90.00 degrees
Closest atoms and distances in Å follow each position.
Atoms (fractional coordinates):
Ru 0.0000 0.5000 0.0000  2 Re 2.38
Pb 0.5000 0.0000 0.0000  2 Re 2.68
Pb 0.0000 0.0000 0.5000  2 Re 2.68
Re 0.0000 0.0000 0.0000  2 Ru 2.38
Tl 0.5000 0.5000 0.5000  8 Pb 3.59, 4 Ru 3.79

---

Entry 2:
## Re2PbS (GGA-PBE)

Data for a relaxed Re2PbS crystal.

Computed properties:
- ΔE_f (raw): 1.19 eV/atom
- E above lowest polymorph: 0 meV per atom
- V: 66 Å³/cell
- Total energy: -27.96 eV for the cell shown
- Space-group type: Fm-3m (225)

Cell lengths 4.5471, 4.5471, 4.5471 Å; angles 60.00, 60.00, 60.00 degrees
Closest atoms and distances in Å follow each position.
Atoms (fractional coordinates):
Re 0.2500 0.2500 0.2500  4 Pb 2.78, 4 S 2.78
Re 0.7500 0.7500 0.7500  4 Pb 2.78, 4 S 2.78
S 0.0000 0.0000 0.0000  8 Re 2.78
Pb 0.5000 0.5000 0.5000  8 Re 2.78

---

Entry 3:
## Re4PbS8 (GGA-PBE)

Data for a relaxed Re4PbS8 crystal.

Computed properties:
- ΔE_f (raw): -0.16 eV/atom
- V: 277 Å³/cell
- Total energy: -88.59 eV for the cell shown
- Space-group type: R-3m (166)

Cell lengths 6.3573, 6.3573, 8.7294 Å; angles 90.00, 111.36, 120.00 degrees
Closest atoms and distances in Å follow each position.
Atoms (fractional coordinates):
S 0.0337 0.7660 0.7997  3 Re 2.42-2.43
S 0.5324 0.2662 0.7987  3 Re 2.43
S 0.4680 0.2340 0.2003  3 Re 2.42-2.43
S 0.4676 0.7338 0.2013  3 Re 2.43
S 0.0337 0.2677 0.7997  3 Re 2.42-2.43
S 0.5320 0.7660 0.7997  3 Re 2.42-2.43
S 0.9663 0.7323 0.2003  3 Re 2.42-2.43
S 0.9663 0.2340 0.2003  3 Re 2.42-2.43
Re 0.0000 0.5000 0.0000  6 S 2.42-2.43
Re 0.5000 0.5000 0.0000  6 S 2.42-2.43
Re 0.0000 0.0000 0.0000  6 S 2.43
Re 0.5000 0.0000 0.0000  6 S 2.42-2.43
Pb 0.0000 0.5000 0.5000  6 S 3.00

---

Entry 4:
## RePb2S (GGA-PBE)

Data for a relaxed RePb2S crystal.

Computed properties:
- ΔE_f (raw): 1.07 eV/atom
- V: 253 Å³/cell
- Total energy: -39.45 eV for the cell shown
- Space-group type: I-42d (122)

Cell lengths 6.3286, 6.3286, 7.7328 Å; angles 65.84, 65.84, 90.00 degrees
Closest atoms and distances in Å follow each position.
Atoms (fractional coordinates):
Re 0.0000 0.0000 0.0000  4 Pb 2.67
Re 0.7500 0.2500 0.5000  4 Pb 2.67
Pb 0.8750 0.8939 0.7500  2 Re 2.67, 2 S 2.81
Pb 0.3750 0.3561 0.7500  2 Re 2.67, 2 S 2.81
Pb 0.1061 0.6250 0.2500  2 Re 2.67, 2 S 2.81
Pb 0.6439 0.1250 0.2500  2 Re 2.67, 2 S 2.81
S 0.5000 0.5000 0.0000  4 Pb 2.81
S 0.2500 0.7500 0.5000  4 Pb 2.81

---

Entry 5:
## Re3Pb2S6 (GGA-PBE)

Data for a relaxed Re3Pb2S6 crystal.

Computed properties:
- ΔE_f (raw): -0.42 eV/atom
- V: 972 Å³/cell
- Total energy: -296.72 eV for the cell shown
- Space-group type: C2/c (15)

Cell lengths 9.6746, 9.6746, 12.2544 Å; angles 87.53, 87.53, 58.08 degrees
Closest atoms and distances in Å follow each position.
Atoms (fractional coordinates):
S 0.8024 0.6990 0.4294  3 Re 2.42-2.43
S 0.7231 0.4464 0.9954  3 Re 2.41-2.47
S 0.2333 0.0836 0.3506  3 Re 2.42-2.44
S 0.0136 0.0715 0.1150  1 Re 2.42
S 0.5536 0.2769 0.5046  3 Re 2.41-2.47
S 0.5485 0.7250 0.2067  2 Re 2.54-2.56
S 0.4515 0.2750 0.7933  2 Re 2.54-2.56
S 0.7250 0.5485 0.7067  2 Re 2.54-2.56
S 0.0836 0.2333 0.8506  3 Re 2.42-2.44
S 0.5897 0.0531 0.2748  3 Re 2.40-2.42
S 0.9285 0.9864 0.3850  1 Re 2.42
S 0.1976 0.3010 0.5706  3 Re 2.42-2.43
S 0.4103 0.9469 0.7252  3 Re 2.40-2.42
S 0.7667 0.9164 0.6494  3 Re 2.42-2.44
S 0.0531 0.5897 0.7748  3 Re 2.40-2.42
S 0.2769 0.5536 0.0046  3 Re 2.41-2.47
S 0.6990 0.8024 0.9294  3 Re 2.42-2.43
S 0.9864 0.9285 0.8850  1 Re 2.42
S 0.9469 0.4103 0.2252  3 Re 2.40-2.42
S 0.3010 0.1976 0.0706  3 Re 2.42-2.43
S 0.4464 0.7231 0.4954  3 Re 2.41-2.47
S 0.0715 0.0136 0.6150  1 Re 2.42
S 0.2750 0.4515 0.2933  2 Re 2.54-2.56
S 0.9164 0.7667 0.1494  3 Re 2.42-2.44
Pb 0.1923 0.8077 0.2500  2 S 2.73
Pb 0.2816 0.8671 0.9479  2 S 2.73-3.05
Pb 0.3974 0.6026 0.7500  2 S 2.95
Pb 0.6026 0.3974 0.2500  2 S 2.95
Pb 0.7184 0.1329 0.0521  2 S 2.73-3.05
Pb 0.8077 0.1923 0.7500  2 S 2.73
Pb 0.8671 0.2816 0.4479  2 S 2.73-3.05
Pb 0.1329 0.7184 0.5521  2 S 2.73-3.05
Re 0.9863 0.6918 0.9583  5 S 2.42-2.47, 4 Re 2.61-2.66
Re 0.5215 0.8795 0.3770  5 S 2.40-2.54, 4 Re 2.61-2.67
Re 0.0137 0.3082 0.0417  5 S 2.42-2.47, 4 Re 2.61-2.66
Re 0.1205 0.4785 0.1230  5 S 2.40-2.54, 4 Re 2.61-2.67
Re 0.8055 0.6138 0.0843  5 S 2.41-2.56, 4 Re 2.61-2.67
Re 0.3082 0.0137 0.5417  5 S 2.42-2.47, 4 Re 2.61-2.66
Re 0.8795 0.5215 0.8770  5 S 2.40-2.54, 4 Re 2.61-2.67
Re 0.6918 0.9863 0.4583  5 S 2.42-2.47, 4 Re 2.61-2.66
Re 0.3862 0.1945 0.4157  5 S 2.41-2.56, 4 Re 2.61-2.67
Re 0.4785 0.1205 0.6230  5 S 2.40-2.54, 4 Re 2.61-2.67
Re 0.6138 0.8055 0.5843  5 S 2.41-2.56, 4 Re 2.61-2.67
Re 0.1945 0.3862 0.9157  5 S 2.41-2.56, 4 Re 2.61-2.67

---

Entry 6:
## Re2PbS (GGA-PBE)

Data for a relaxed Re2PbS crystal.

Computed properties:
- ΔE_f (raw): 1.22 eV/atom
- E above lowest polymorph: 29 meV per atom
- V: 178 Å³/cell
- Total energy: -55.69 eV for the cell shown
- Space-group type: I-42d (122)

Cell lengths 6.1460, 6.1460, 6.4063 Å; angles 61.34, 61.34, 90.00 degrees
Closest atoms and distances in Å follow each position.
Atoms (fractional coordinates):
S 0.5000 0.5000 0.0000  4 Re 2.22
S 0.2500 0.7500 0.5000  4 Re 2.22
Re 0.8750 0.8022 0.7500  2 S 2.22
Re 0.3750 0.4478 0.7500  2 S 2.22
Re 0.1978 0.6250 0.2500  2 S 2.22
Re 0.5522 0.1250 0.2500  2 S 2.22
Pb 0.7500 0.2500 0.5000  4 Re 2.77
Pb 0.0000 0.0000 0.0000  4 Re 2.77

---

Entry 7:
## TiRePbS2 (GGA-PBE)

Data for a relaxed TiRePbS2 crystal.

Computed properties:
- ΔE_f (raw): 1.83 eV/atom
- V: 138 Å³/cell
- Total energy: -23.17 eV for the cell shown
- Space-group type: P4/mmm (123)

Cell lengths 5.1071, 5.3050, 5.1071 Å; angles 90.00, 90.00, 90.00 degrees
Closest atoms and distances in Å follow each position.
Atoms (fractional coordinates):
S 0.0000 0.0000 0.5000  2 Pb 2.55
S 0.5000 0.0000 0.0000  2 Pb 2.55
Re 0.0000 0.5000 0.0000  2 Pb 2.65
Pb 0.0000 0.0000 0.0000  4 S 2.55, 2 Re 2.65
Ti 0.5000 0.5000 0.5000  4 Re 3.61, 8 S 3.68

---

Entry 8:
## ReSbPb2 (GGA-PBE)

Data for a relaxed ReSbPb2 crystal.

Computed properties:
- ΔE_f (raw): 0.78 eV/atom
- V: 102 Å³/cell
- Total energy: -20.89 eV for the cell shown
- Space-group type: Cmmm (65)

Cell lengths 3.1477, 3.1477, 10.3122 Å; angles 90.00, 90.00, 95.17 degrees
Closest atoms and distances in Å follow each position.
Atoms (fractional coordinates):
Pb 0.0000 0.0000 0.0497  4 Re 2.96-3.11, 4 Pb 3.15
Pb 0.0000 0.0000 0.4503  4 Re 2.96-3.11, 4 Pb 3.15
Re 0.5000 0.5000 0.2500  8 Pb 2.96-3.11, 4 Re 3.15
Sb 0.5000 0.5000 0.7500  4 Sb 3.15

---

Entry 9:
## ReSbPb2 (GGA-PBE)

Data for a relaxed ReSbPb2 crystal.

Computed properties:
- ΔE_f (raw): 1.01 eV/atom
- V: 97 Å³/cell
- Total energy: -19.95 eV for the cell shown
- Space-group type: Pmmm (47)

Cell lengths 3.4846, 5.0195, 5.5448 Å; angles 90.00, 90.00, 90.00 degrees
Closest atoms and distances in Å follow each position.
Atoms (fractional coordinates):
Pb 0.5000 0.5000 0.0000  4 Pb 3.06, 4 Sb 3.27
Pb 0.0000 0.0000 0.0000  4 Pb 3.06, 4 Re 3.27
Sb 0.0000 0.5000 0.5000  4 Re 3.06, 4 Pb 3.27
Re 0.5000 0.0000 0.5000  4 Sb 3.06, 4 Pb 3.27

---

Entry 10:
## ReSbPb2 (GGA-PBE)

Data for a relaxed ReSbPb2 crystal.

Computed properties:
- ΔE_f (raw): 1.05 eV/atom
- V: 96 Å³/cell
- Total energy: -19.79 eV for the cell shown
- Space-group type: P4/mmm (123)

Cell lengths 5.0266, 5.0266, 3.7851 Å; angles 90.00, 90.00, 90.00 degrees
Closest atoms and distances in Å follow each position.
Atoms (fractional coordinates):
Sb 0.0000 0.5000 0.5000  8 Pb 3.15
Pb 0.5000 0.5000 0.0000  4 Re 3.15, 4 Sb 3.15
Pb 0.0000 0.0000 0.0000  4 Sb 3.15, 4 Re 3.15
Re 0.5000 0.0000 0.5000  8 Pb 3.15

---

Entry 11:
## ReSbPb2 (GGA-PBE)

Data for a relaxed ReSbPb2 crystal.

Computed properties:
- ΔE_f (raw): 0.40 eV/atom
- V: 101 Å³/cell
- Total energy: -22.37 eV for the cell shown
- Space-group type: R3m (160)

Cell lengths 10.6394, 10.6394, 10.6394 Å; angles 18.06, 18.06, 18.06 degrees
Closest atoms and distances in Å follow each position.
Atoms (fractional coordinates):
Re 0.4954 0.4954 0.4954  3 Sb 2.69, 3 Pb 2.97
Sb 0.7690 0.7690 0.7690  3 Re 2.69
Pb 0.2341 0.2341 0.2341  3 Re 2.97
Pb 0.0016 0.0016 0.0016  9 Pb 3.34-3.71, 3 Sb 3.70

---

Entry 12:
## ReSbPb2 (GGA-PBE)

Data for a relaxed ReSbPb2 crystal.

Computed properties:
- ΔE_f (raw): 0.64 eV/atom
- V: 102 Å³/cell
- Total energy: -21.44 eV for the cell shown
- Space-group type: Cmm2 (35)

Cell lengths 3.2406, 3.2406, 10.6755 Å; angles 90.00, 90.00, 113.97 degrees
Closest atoms and distances in Å follow each position.
Atoms (fractional coordinates):
Re 0.0000 0.0000 0.5108  2 Sb 2.65, 2 Pb 2.91
Sb 0.5000 0.5000 0.6954  2 Re 2.65
Pb 0.5000 0.5000 0.2936  2 Re 2.91, 4 Pb 3.24
Pb 0.0000 0.0000 0.0002  8 Pb 3.24-3.60

---

Entry 13:
## ReSbPb2 (GGA-PBE)

Data for a relaxed ReSbPb2 crystal.

Computed properties:
- ΔE_f (raw): 0.99 eV/atom
- V: 98 Å³/cell
- Total energy: -20.02 eV for the cell shown
- Space-group type: Cmmm (65)

Cell lengths 5.6795, 5.6795, 3.2425 Å; angles 90.00, 90.00, 109.88 degrees
Closest atoms and distances in Å follow each position.
Atoms (fractional coordinates):
Pb 0.0000 0.0000 0.0000  4 Pb 3.24-3.26, 4 Sb 3.27, 4 Re 3.27
Pb 0.5000 0.5000 0.0000  4 Pb 3.24-3.26, 4 Re 3.27, 4 Sb 3.27
Re 0.5000 0.0000 0.5000  2 Re 3.24, 2 Sb 3.26, 8 Pb 3.27
Sb 0.0000 0.5000 0.5000  2 Sb 3.24, 2 Re 3.26, 8 Pb 3.27